(1)
This record from the Alexandria database describes crystalline Mn3GeO at its relaxed geometry. The functional is PBE with a Hubbard U.

Results
Energy above the lowest structure with this stoichiometry   0 meV per atom
DOS(E_F)   1.4 states/eV/cell

a = 4.361 Å, b = 4.361 Å, c = 4.361 Å
α = 90.00°, β = 90.00°, γ = 90.00°
Space group Pm-3m (No. 221)
One atom of each set of equivalent atoms:
Mn 0.000 0.000 0.500 [3 per cell]
Ge 0.500 0.500 0.500 [1 per cell]
O 0.000 0.000 0.000 [1 per cell]

(2)
This record from the Alexandria database describes crystalline Mn2GeO at its relaxed geometry. The functional is PBE with a Hubbard U.

Results
Final energy   -97.45 eV per cell
DOS(E_F)   1.4 states/eV/cell

a = 6.201 Å, b = 6.201 Å, c = 6.201 Å
α = 90.00°, β = 90.00°, γ = 90.00°
Space group Fm-3m (No. 225)
One atom of each set of equivalent atoms:
Mn 0.250 0.250 0.250 [8 per cell]
Ge 0.000 0.000 0.000 [4 per cell]
O 0.000 0.000 0.500 [4 per cell]

no.,volume (A^3/atom)
1,16.6
2,14.9